# 1
AlTc2Ru | Alexandria | PBE | relaxed; space group = P4mm; crystal system = tetragonal; total energy = -34.747 eV/cell
1.0
2.9551 0.0000 0.0000
0.0000 2.9551 0.0000
0.0000 0.0000 6.4651
Al Tc Ru
1 2 1
Cartesian
0.0000 0.0000 0.0000 Al
0.0000 0.0000 3.2135 Tc
1.4775 1.4775 4.8407 Tc
1.4775 1.4775 1.5189 Ru



# 2
K2PAu | Alexandria | PBE | relaxed; space group = P4/mmm; crystal system = tetragonal; total energy = -10.828 eV/cell
1.0
3.3112 0.0000 0.0000
0.0000 3.3112 0.0000
0.0000 0.0000 9.5940
K P Au
2 1 1
Cartesian
0.0000 0.0000 2.2960 K
0.0000 0.0000 7.2980 K
1.6556 1.6556 0.0000 P
1.6556 1.6556 4.7970 Au